No. 1
A plane-wave DFT calculation with PBEsol was carried out for an optimized crystal structure of Ni20Sn3B6.

Lattice parameters (Å, degrees): 7.459 7.459 7.459 60.00 60.00 60.00
Fractional coordinates of all 29 atoms:
Ni  0.000  0.000  0.342
Ni  0.000  0.000  0.658
Ni  0.000  0.342  0.000
Ni  0.000  0.342  0.658
Ni  0.000  0.658  0.000
Ni  0.000  0.658  0.342
Ni  0.156  0.615  0.615
Ni  0.342  0.000  0.000
Ni  0.342  0.000  0.658
Ni  0.342  0.658  0.000
Ni  0.385  0.385  0.385
Ni  0.385  0.385  0.844
Ni  0.385  0.844  0.385
Ni  0.615  0.156  0.615
Ni  0.615  0.615  0.156
Ni  0.615  0.615  0.615
Ni  0.658  0.000  0.000
Ni  0.658  0.000  0.342
Ni  0.658  0.342  0.000
Ni  0.844  0.385  0.385
Sn  0.000  0.000  0.000
Sn  0.250  0.250  0.250
Sn  0.750  0.750  0.750
B  0.275  0.275  0.725
B  0.275  0.725  0.275
B  0.275  0.725  0.725
B  0.725  0.275  0.275
B  0.725  0.275  0.725
B  0.725  0.725  0.275

Properties
calculated volume	10.12	Å³/atom
ΔE_f	-9.438	eV/f.u.
calculated total energy	-187.464	eV for the cell shown

=====

No. 2
A plane-wave DFT calculation with PBEsol was carried out for an optimized crystal structure of HgPSe2N.

Lattice parameters (Å, degrees): 5.235 5.235 3.969 90.00 90.00 90.00
Fractional coordinates of all 5 atoms:
Hg  0.000  0.000  0.000
P  0.500  0.500  0.500
Se  0.000  0.500  0.000
Se  0.500  0.000  0.000
N  0.000  0.000  0.500

Properties
calculated volume	21.76	Å³/atom
calculated total energy	-14.824	eV for the cell shown
ΔE_f (raw)	149.8	kJ/mol of atoms

=====

No. 3
A plane-wave DFT calculation with PBEsol was carried out for an optimized crystal structure of Rb2NaWO.

Lattice parameters (Å, degrees): 6.354 6.354 4.024 90.00 90.00 90.00
Fractional coordinates of all 5 atoms:
Rb  0.000  0.500  0.000
Rb  0.500  0.000  0.000
Na  0.000  0.000  0.000
W  0.500  0.500  0.500
O  0.000  0.000  0.500

Properties
calculated volume	32.49	Å³/atom
calculated total energy	-17.392	eV for the cell shown
ΔE_f (raw)	98.7	kJ/mol of atoms

=====

No. 4
A plane-wave DFT calculation with PBEsol was carried out for an optimized crystal structure of Ba8Bi10O27.

Lattice parameters (Å, degrees): 9.725 9.725 9.725 66.95 66.95 66.95
Fractional coordinates of all 45 atoms:
Ba  0.051  0.389  0.737
Ba  0.162  0.162  0.162
Ba  0.263  0.949  0.611
Ba  0.389  0.737  0.051
Ba  0.611  0.263  0.949
Ba  0.737  0.051  0.389
Ba  0.838  0.838  0.838
Ba  0.949  0.611  0.263
Bi  0.000  0.000  0.000
Bi  0.114  0.774  0.446
Bi  0.226  0.554  0.886
Bi  0.342  0.342  0.342
Bi  0.446  0.114  0.774
Bi  0.500  0.500  0.500
Bi  0.554  0.886  0.226
Bi  0.658  0.658  0.658
Bi  0.774  0.446  0.114
Bi  0.886  0.226  0.554
O  0.000  0.000  0.500
O  0.000  0.500  0.000
O  0.074  0.886  0.211
O  0.097  0.307  0.477
O  0.114  0.789  0.926
O  0.126  0.658  0.684
O  0.211  0.074  0.886
O  0.300  0.583  0.363
O  0.307  0.477  0.097
O  0.316  0.874  0.342
O  0.342  0.316  0.874
O  0.363  0.300  0.583
O  0.417  0.637  0.700
O  0.477  0.097  0.307
O  0.500  0.000  0.000
O  0.523  0.903  0.693
O  0.583  0.363  0.300
O  0.637  0.700  0.417
O  0.658  0.684  0.126
O  0.684  0.126  0.658
O  0.693  0.523  0.903
O  0.700  0.417  0.637
O  0.789  0.926  0.114
O  0.874  0.342  0.316
O  0.886  0.211  0.074
O  0.903  0.693  0.523
O  0.926  0.114  0.789

Properties
calculated volume	16.61	Å³/atom
calculated total energy	-279.207	eV for the cell shown
ΔE_f (raw)	-166.0	kJ/mol of atoms

=====

No. 5
A plane-wave DFT calculation with PBEsol was carried out for an optimized crystal structure of Ca2GaO2.

Lattice parameters (Å, degrees): 6.065 6.065 6.065 136.13 136.13 63.77
Fractional coordinates of all 5 atoms:
Ca  0.250  0.750  0.500
Ca  0.750  0.250  0.500
Ga  0.000  0.000  0.000
O  0.217  0.217  0.000
O  0.783  0.783  0.000

Properties
calculated volume	21.14	Å³/atom
calculated total energy	-27.458	eV for the cell shown
ΔE_f (raw)	-180.5	kJ/mol of atoms

=====

No. 6
A plane-wave DFT calculation with PBEsol was carried out for an optimized crystal structure of K2SrReW.

Lattice parameters (Å, degrees): 6.208 6.208 4.681 90.00 90.00 90.00
Fractional coordinates of all 5 atoms:
K  0.000  0.500  0.000
K  0.500  0.000  0.000
Sr  0.000  0.000  0.500
Re  0.500  0.500  0.000
W  0.500  0.500  0.500

Properties
calculated volume	36.08	Å³/atom
ΔE_f	8.164	eV/f.u.
calculated total energy	-23.083	eV for the cell shown

=====

No. 7
A plane-wave DFT calculation with PBEsol was carried out for an optimized crystal structure of InFeSiRh2.

Lattice parameters (Å, degrees): 4.312 4.312 4.845 90.00 90.00 90.00
Fractional coordinates of all 5 atoms:
In  0.000  0.000  0.000
Fe  0.500  0.500  0.000
Si  0.000  0.000  0.500
Rh  0.000  0.500  0.500
Rh  0.500  0.000  0.500

Properties
calculated volume	18.02	Å³/atom
calculated total energy	-30.446	eV for the cell shown
ΔE_f (raw)	68.0	kJ/mol of atoms

=====

No. 8
A plane-wave DFT calculation with PBEsol was carried out for an optimized crystal structure of InCuHg.

Lattice parameters (Å, degrees): 4.395 4.395 4.395 60.00 60.00 60.00
Fractional coordinates of all 3 atoms:
In  0.000  0.000  0.000
Cu  0.750  0.750  0.750
Hg  0.500  0.500  0.500

Properties
calculated volume	20.01	Å³/atom
ΔE_f	0.100	eV/f.u.
excess energy over the best structure of this formula in the dataset	0.0	meV per atom
calculated total energy	-7.784	eV for the cell shown

=====

No. 9
A plane-wave DFT calculation with PBEsol was carried out for an optimized crystal structure of Sm2Ge5Pt3.

Lattice parameters (Å, degrees): 8.353 8.353 8.353 105.17 90.97 136.18
Fractional coordinates of all 20 atoms:
Sm  0.131  0.228  0.360
Sm  0.369  0.728  0.097
Sm  0.631  0.272  0.903
Sm  0.869  0.772  0.640
Ge  0.023  0.750  0.273
Ge  0.105  0.656  0.761
Ge  0.250  0.250  0.000
Ge  0.395  0.156  0.551
Ge  0.477  0.750  0.727
Ge  0.523  0.250  0.273
Ge  0.605  0.844  0.449
Ge  0.750  0.750  0.000
Ge  0.895  0.344  0.239
Ge  0.977  0.250  0.727
Pt  0.139  0.890  0.029
Pt  0.250  0.750  0.500
Pt  0.361  0.390  0.751
Pt  0.639  0.610  0.249
Pt  0.750  0.250  0.500
Pt  0.861  0.110  0.971

Properties
calculated volume	18.53	Å³/atom
ΔE_f	-8.589	eV/f.u.
calculated total energy	-128.719	eV for the cell shown

=====

No. 10
A plane-wave DFT calculation with PBEsol was carried out for an optimized crystal structure of K2CaBr.

Lattice parameters (Å, degrees): 7.587 7.587 7.587 139.87 139.87 58.05
Fractional coordinates of all 4 atoms:
K  0.000  0.000  0.000
K  0.750  0.250  0.500
Ca  0.250  0.750  0.500
Br  0.500  0.500  0.000

Properties
calculated volume	44.94	Å³/atom
excess energy over the best structure of this formula in the dataset	58.0	meV per atom
calculated total energy	-7.776	eV for the cell shown
ΔE_f (raw)	-36.3	kJ/mol of atoms

=====

No. 11
A plane-wave DFT calculation with PBEsol was carried out for an optimized crystal structure of Si4H2O9.

Lattice parameters (Å, degrees): 7.542 7.542 13.996 102.24 102.24 89.90
Fractional coordinates of all 60 atoms:
Si  0.044  0.956  0.750
Si  0.049  0.371  0.761
Si  0.197  0.729  0.918
Si  0.271  0.803  0.582
Si  0.274  0.401  0.594
Si  0.369  0.631  0.250
Si  0.371  0.049  0.261
Si  0.401  0.274  0.094
Si  0.599  0.726  0.906
Si  0.629  0.951  0.739
Si  0.631  0.369  0.750
Si  0.726  0.599  0.406
Si  0.729  0.197  0.418
Si  0.803  0.271  0.082
Si  0.951  0.629  0.239
Si  0.956  0.044  0.250
H  0.012  0.217  0.989
H  0.217  0.012  0.489
H  0.234  0.235  0.432
H  0.235  0.234  0.932
H  0.765  0.766  0.068
H  0.766  0.765  0.568
H  0.783  0.988  0.511
H  0.988  0.783  0.011
O  0.088  0.174  0.792
O  0.115  0.857  0.841
O  0.124  0.781  0.020
O  0.140  0.384  0.668
O  0.143  0.885  0.659
O  0.146  0.518  0.860
O  0.167  0.600  0.268
O  0.174  0.088  0.292
O  0.219  0.876  0.480
O  0.223  0.228  0.499
O  0.228  0.223  0.999
O  0.242  0.584  0.551
O  0.384  0.140  0.168
O  0.399  0.484  0.152
O  0.400  0.833  0.232
O  0.416  0.758  0.949
O  0.482  0.854  0.640
O  0.484  0.399  0.652
O  0.516  0.601  0.348
O  0.518  0.146  0.360
O  0.584  0.242  0.051
O  0.600  0.167  0.768
O  0.601  0.516  0.848
O  0.616  0.860  0.832
O  0.758  0.416  0.449
O  0.772  0.777  0.001
O  0.777  0.772  0.501
O  0.781  0.124  0.520
O  0.826  0.912  0.708
O  0.833  0.400  0.732
O  0.854  0.482  0.140
O  0.857  0.115  0.341
O  0.860  0.616  0.332
O  0.876  0.219  0.980
O  0.885  0.143  0.159
O  0.912  0.826  0.208

Properties
calculated volume	12.66	Å³/atom
calculated total energy	-452.894	eV for the cell shown

=====

No. 12
A plane-wave DFT calculation with PBEsol was carried out for an optimized crystal structure of MgFe2Pb.

Lattice parameters (Å, degrees): 3.138 3.138 7.000 90.00 90.00 90.00
Fractional coordinates of all 4 atoms:
Mg  0.000  0.000  0.000
Fe  0.000  0.000  0.616
Fe  0.500  0.500  0.763
Pb  0.500  0.500  0.351

Properties
calculated volume	17.24	Å³/atom
ΔE_f	1.101	eV/f.u.
calculated total energy	-22.542	eV for the cell shown

=====

No. 13
A plane-wave DFT calculation with PBEsol was carried out for an optimized crystal structure of FeMoW2.

Lattice parameters (Å, degrees): 5.109 5.109 2.658 100.21 100.21 116.72
Fractional coordinates of all 4 atoms:
Fe  0.000  0.000  0.000
Mo  0.500  0.500  0.000
W  0.000  0.500  0.500
W  0.500  0.000  0.500

Properties
calculated volume	14.58	Å³/atom
ΔE_f	0.586	eV/f.u.
excess energy over the best structure of this formula in the dataset	54.2	meV per atom
calculated total energy	-47.761	eV for the cell shown

=====

No. 14
A plane-wave DFT calculation with PBEsol was carried out for an optimized crystal structure of KSrPb2.

Lattice parameters (Å, degrees): 5.744 5.744 5.744 60.00 60.00 60.00
Fractional coordinates of all 4 atoms:
K  0.000  0.000  0.000
Sr  0.500  0.500  0.500
Pb  0.250  0.250  0.250
Pb  0.750  0.750  0.750

Properties
calculated volume	33.51	Å³/atom
ΔE_f	-1.037	eV/f.u.
excess energy over the best structure of this formula in the dataset	18.3	meV per atom
calculated total energy	-12.008	eV for the cell shown

=====

No. 15
A plane-wave DFT calculation with PBEsol was carried out for an optimized crystal structure of BeCr2Mo.

Lattice parameters (Å, degrees): 4.707 4.707 2.434 90.00 90.00 117.43
Fractional coordinates of all 4 atoms:
Be  0.000  0.000  0.000
Cr  0.000  0.500  0.500
Cr  0.500  0.000  0.500
Mo  0.500  0.500  0.000

Properties
calculated volume	11.97	Å³/atom
ΔE_f	1.409	eV/f.u.
calculated total energy	-34.843	eV for the cell shown

=====

No. 16
A plane-wave DFT calculation with PBEsol was carried out for an optimized crystal structure of IrWCl2.

Lattice parameters (Å, degrees): 9.216 9.216 9.216 18.36 18.36 18.36
Fractional coordinates of all 4 atoms:
Ir  0.000  0.000  0.000
W  0.259  0.259  0.259
Cl  0.525  0.525  0.525
Cl  0.742  0.742  0.742

Properties
calculated volume	16.96	Å³/atom
excess energy over the best structure of this formula in the dataset	0.0	meV per atom
calculated total energy	-27.595	eV for the cell shown
ΔE_f (raw)	1.2	kJ/mol of atoms

=====

No. 17
A plane-wave DFT calculation with PBEsol was carried out for an optimized crystal structure of MnTcOs2.

Lattice parameters (Å, degrees): 2.639 2.639 8.749 90.00 90.00 116.12
Fractional coordinates of all 4 atoms:
Mn  0.000  0.000  0.000
Tc  0.500  0.500  0.237
Os  0.000  0.000  0.495
Os  0.500  0.500  0.761

Properties
calculated volume	13.68	Å³/atom
ΔE_f	1.957	eV/f.u.
excess energy over the best structure of this formula in the dataset	90.3	meV per atom
calculated total energy	-43.502	eV for the cell shown

=====

No. 18
A plane-wave DFT calculation with PBEsol was carried out for an optimized crystal structure of Ba2MnSb.

Lattice parameters (Å, degrees): 4.314 4.314 7.483 90.00 90.00 90.00
Fractional coordinates of all 4 atoms:
Ba  0.000  0.000  0.236
Ba  0.000  0.000  0.764
Mn  0.500  0.500  0.500
Sb  0.500  0.500  0.000

Properties
calculated volume	34.81	Å³/atom
calculated total energy	-18.726	eV for the cell shown
ΔE_f (raw)	-2.6	kJ/mol of atoms

=====

No. 19
A plane-wave DFT calculation with PBEsol was carried out for an optimized crystal structure of K4ZnP2.

Lattice parameters (Å, degrees): 9.217 9.217 9.217 35.19 35.19 35.19
Fractional coordinates of all 7 atoms:
K  0.115  0.115  0.115
K  0.292  0.292  0.292
K  0.708  0.708  0.708
K  0.885  0.885  0.885
Zn  0.500  0.500  0.500
P  0.415  0.415  0.415
P  0.585  0.585  0.585

Properties
calculated volume	33.18	Å³/atom
ΔE_f	-2.587	eV/f.u.
excess energy over the best structure of this formula in the dataset	0.0	meV per atom
calculated total energy	-20.285	eV for the cell shown

=====

No. 20
A plane-wave DFT calculation with PBEsol was carried out for an optimized crystal structure of ScTlZn.

Lattice parameters (Å, degrees): 4.625 4.625 4.625 60.00 60.00 60.00
Fractional coordinates of all 3 atoms:
Sc  0.000  0.000  0.000
Tl  0.750  0.750  0.750
Zn  0.250  0.250  0.250

Properties
calculated volume	23.32	Å³/atom
ΔE_f	0.458	eV/f.u.
calculated total energy	-10.359	eV for the cell shown